The following is a DFT calculation (GGA-PBE) of crystalline HoErSi at its relaxed geometry.

The structure in CIF format:
```
data_HoErSi
_symmetry_space_group_name_H-M 'F -4 3 m'
_symmetry_Int_Tables_number 216
_symmetry_space_group_name_Hall 'F -4 2 3'
_cell_length_a 6.7918
_cell_length_b 6.7918
_cell_length_c 6.7918
_cell_angle_alpha 90.00
_cell_angle_beta 90.00
_cell_angle_gamma 90.00
loop_
_atom_site_label
_atom_site_fract_x
_atom_site_fract_y
_atom_site_fract_z
_atom_site_occupancy
Ho1 0.0000 0.0000 0.0000 1
Er1 0.0000 0.0000 0.5000 1
Si1 0.2500 0.2500 0.7500 1
```

The following is a DFT calculation (GGA-PBE) of crystalline TbDyBi4Au2 at its relaxed geometry.

The structure in CIF format:
```
data_TbDyBi4Au2
_symmetry_space_group_name_H-M 'P 4 m m'
_symmetry_Int_Tables_number 99
_symmetry_space_group_name_Hall 'P 4 -2'
_cell_length_a 4.6238
_cell_length_b 4.6238
_cell_length_c 9.7896
_cell_angle_alpha 90.00
_cell_angle_beta 90.00
_cell_angle_gamma 90.00
loop_
_atom_site_label
_atom_site_fract_x
_atom_site_fract_y
_atom_site_fract_z
_atom_site_occupancy
Tb1 0.0000 0.0000 0.0000 1
Dy1 0.5000 0.5000 0.5449 1
Bi1 0.0000 0.0000 0.5709 1
Bi2 0.0000 0.5000 0.2727 1
Bi3 0.5000 0.5000 0.9723 1
Au1 0.0000 0.5000 0.7710 1
```

The following is a DFT calculation (GGA-PBE) of crystalline MoH3 at its relaxed geometry.

The structure in CIF format:
```
data_MoH3
_symmetry_space_group_name_H-M 'R -3 c'
_symmetry_Int_Tables_number 167
_symmetry_space_group_name_Hall '-R 3 2"c'
_cell_length_a 4.0140
_cell_length_b 4.0140
_cell_length_c 11.7950
_cell_angle_alpha 90.00
_cell_angle_beta 90.00
_cell_angle_gamma 120.00
loop_
_atom_site_label
_atom_site_fract_x
_atom_site_fract_y
_atom_site_fract_z
_atom_site_occupancy
Mo1 0.0000 0.0000 0.0000 1
H1 0.0000 0.2483 0.2500 1
```

The following is a DFT calculation (GGA-PBE) of crystalline TlCoGe at its relaxed geometry.

The structure in CIF format:
```
data_TlCoGe
_symmetry_space_group_name_H-M 'F -4 3 m'
_symmetry_Int_Tables_number 216
_symmetry_space_group_name_Hall 'F -4 2 3'
_cell_length_a 6.0756
_cell_length_b 6.0756
_cell_length_c 6.0756
_cell_angle_alpha 90.00
_cell_angle_beta 90.00
_cell_angle_gamma 90.00
loop_
_atom_site_label
_atom_site_fract_x
_atom_site_fract_y
_atom_site_fract_z
_atom_site_occupancy
Tl1 0.0000 0.0000 0.0000 1
Co1 0.2500 0.2500 0.7500 1
Ge1 0.0000 0.0000 0.5000 1
```

| no. | density (g/cm3) | total energy (eV per atom) |
| --- | --- | --- |
| 1 | 7.64 | -5.32 |
| 2 | 12.31 | -4.51 |
| 3 | 5.99 | -4.74 |
| 4 | 9.95 | -4.39 |